# LiSmW2O8, relaxed, DFT PBE with a Hubbard U
# Excess energy over the best structure of this formula in the dataset: 62.2 meV per atom
# Final energy: -7.397 eV/atom
# Fermi-level density of states: 0.000 states/eV/cell
data_LiSmW2O8
_cell_length_a 5.288
_cell_length_b 5.288
_cell_length_c 11.292
_cell_angle_alpha 90.00
_cell_angle_beta 90.00
_cell_angle_gamma 90.00
_symmetry_space_group_name_H-M 'I -4'
_symmetry_Int_Tables_number 82
loop_
_symmetry_equiv_pos_as_xyz
'x,y,z'
'y,-x,-z'
'-x,-y,z'
'-y,x,-z'
'x+1/2,y+1/2,z+1/2'
'y+1/2,-x+1/2,-z+1/2'
'-x+1/2,-y+1/2,z+1/2'
'-y+1/2,x+1/2,-z+1/2'
loop_
_atom_site_label
_atom_site_fract_x
_atom_site_fract_y
_atom_site_fract_z
Li1 0.000 0.000 0.000
Sm1 0.000 0.500 0.250
W1 0.000 0.000 0.500
W2 0.000 0.500 0.750
O1 0.157 0.241 0.410
O2 0.161 0.744 0.837